VASP calculation (PBE) on a relaxed Bi3IN crystal.

a b c (Å): 5.9108 5.9108 5.9108
angles (deg): 90.00 90.00 90.00
With the nearest neighbours (Å) after each atom.
Fractional coordinates of all 5 atoms:
Bi (0.5000, 0.0000, 0.0000)  2 I 2.96
Bi (0.0000, 0.5000, 0.0000)  2 I 2.96
N (0.5000, 0.5000, 0.5000)  12 Bi 4.18
Bi (0.0000, 0.0000, 0.5000)  2 I 2.96
I (0.0000, 0.0000, 0.0000)  6 Bi 2.96

The value obtained for the total moment is 0.0 μB/cell. Its crystal system is cubic. The calculation puts the energy above the lowest structure with this stoichiometry at 1592 meV per atom. The value obtained for the raw total energy is -10.3 eV/cell.

=====

VASP calculation (PBE) on a relaxed Mg4Cd2Sn3 crystal.

a b c (Å): 4.5532 5.3990 11.1593
angles (deg): 73.73 100.73 63.89
With the nearest neighbours (Å) after each atom.
Fractional coordinates of all 9 atoms:
Sn (0.0000, 0.0000, 0.0000)  8 Mg 3.07-3.26, 4 Cd 3.25-3.27
Cd (0.1903, 0.4200, 0.7947)  7 Mg 3.11-3.20, 4 Sn 3.12-3.27
Mg (0.2232, 0.8570, 0.3176)  5 Sn 3.00-3.26, 3 Cd 3.12-3.20, 2 Mg 3.31-3.33
Sn (0.5954, 0.1879, 0.3947)  5 Mg 3.00-3.13, 2 Cd 3.12-3.16, 2 Sn 3.17-3.28
Mg (0.5945, 0.7175, 0.8988)  4 Sn 3.06-3.19, 4 Cd 3.11-3.19, 4 Mg 3.25-3.33
Mg (0.4055, 0.2825, 0.1012)  4 Sn 3.06-3.19, 4 Cd 3.11-3.19, 4 Mg 3.25-3.33
Cd (0.8097, 0.5800, 0.2053)  7 Mg 3.11-3.20, 4 Sn 3.12-3.27
Mg (0.7768, 0.1430, 0.6824)  5 Sn 3.00-3.26, 3 Cd 3.12-3.20, 2 Mg 3.31-3.33
Sn (0.4046, 0.8121, 0.6053)  5 Mg 3.00-3.13, 2 Cd 3.12-3.16, 2 Sn 3.17-3.28

The value obtained for the total moment is 0.0 μB/cell. Its crystal system is triclinic. The formation energy comes out at -83.1 meV/atom. The value obtained for the raw total energy is -21.0 eV/cell.